{"formula": "Na2UTlF8", "functional": "GGA-PBE", "state": "optimized geometry", "formation_energy_uncorrected_ev_per_atom": -2.926, "vol_a3_per_cell": 196.60, "spacegroup": "P-1, No. 2", "lattice_angstrom": [[4.070, -0.004, -0.001], [0.026, 5.750, -0.002], [0.003, 0.014, 8.400]], "species": ["Na", "Na", "F", "F", "F", "F", "F", "F", "F", "F", "U", "Tl"], "fractional_positions": [[0.500, 0.500, 0.284], [0.500, 0.500, 0.716], [0.501, 0.792, 0.000], [0.499, 0.208, 0.000], [0.001, 0.760, 0.805], [0.001, 0.760, 0.195], [0.499, 0.261, 0.500], [0.501, 0.739, 0.500], [0.999, 0.240, 0.805], [0.999, 0.240, 0.195], [0.000, 0.000, 0.000], [0.000, 0.000, 0.500]]}



{"formula": "SmHoPd4", "functional": "GGA-PBE", "state": "optimized geometry", "vol_a3_per_cell": 238.44, "e_above_lowest_polymorph_ev_per_fu": 0.00, "spacegroup": "Cmcm, No. 63", "formation_energy_ev_per_atom": -0.88, "lattice_angstrom": [[0.018, 0.030, -4.209], [5.290, -2.336, 0.006], [-3.966, -8.978, 2.022]], "species": ["Pd", "Pd", "Pd", "Pd", "Pd", "Pd", "Pd", "Pd", "Ho", "Ho", "Sm", "Sm"], "fractional_positions": [[0.428, 0.750, 0.855], [0.146, 0.008, 0.292], [0.000, 0.000, 0.000], [0.000, 0.500, 0.000], [0.146, 0.492, 0.292], [0.572, 0.250, 0.145], [0.854, 0.992, 0.708], [0.854, 0.508, 0.708], [0.424, 0.250, 0.848], [0.576, 0.750, 0.152], [0.277, 0.750, 0.553], [0.723, 0.250, 0.447]]}